# 1
The following is a DFT calculation (GGA-PBE) of EuNi4Pt after structural relaxation.

Cell lengths 4.9512, 4.9512, 4.9512 Å; angles 60.00, 60.00, 60.00 degrees
Closest atoms and distances in Å follow each position.
Element x y z (fractional)
Eu1 0.0000 0.0000 0.0000  12 Ni 2.90, 4 Pt 3.03
Ni1 0.1277 0.6241 0.6241  6 Ni 2.46-2.49
Ni2 0.6241 0.1277 0.6241  6 Ni 2.46-2.49
Ni3 0.6241 0.6241 0.1277  6 Ni 2.46-2.49
Ni4 0.6241 0.6241 0.6241  6 Ni 2.46-2.49
Pt1 0.2500 0.2500 0.2500  12 Ni 2.90, 4 Eu 3.03

---

# 2
The following is a DFT calculation (GGA-PBE) of TbEuNiPt after structural relaxation.

Cell lengths 4.9469, 4.9469, 4.9469 Å; angles 60.00, 60.00, 60.00 degrees
Closest atoms and distances in Å follow each position.
Element x y z (fractional)
Tb1 0.0000 0.0000 0.0000  4 Ni 3.03, 4 Pt 3.03
Eu1 0.5000 0.5000 0.5000  4 Pt 3.03, 4 Ni 3.03
Ni1 0.2500 0.2500 0.2500  4 Eu 3.03, 4 Tb 3.03
Pt1 0.7500 0.7500 0.7500  4 Tb 3.03, 4 Eu 3.03

---

# 3
The following is a DFT calculation (GGA-PBE) of EuYNiPt after structural relaxation.

Cell lengths 4.9452, 4.9452, 4.9452 Å; angles 60.00, 60.00, 60.00 degrees
Closest atoms and distances in Å follow each position.
Element x y z (fractional)
Eu1 0.0000 0.0000 0.0000  4 Ni 3.03, 4 Pt 3.03
Y1 0.5000 0.5000 0.5000  4 Pt 3.03, 4 Ni 3.03
Ni1 0.7500 0.7500 0.7500  4 Y 3.03, 4 Eu 3.03
Pt1 0.2500 0.2500 0.2500  4 Y 3.03, 4 Eu 3.03

---

# 4
The following is a DFT calculation (GGA-PBE) of EuPu2Ni after structural relaxation.

Cell lengths 3.4590, 3.4590, 8.6923 Å; angles 90.00, 90.00, 90.00 degrees
Closest atoms and distances in Å follow each position.
Element x y z (fractional)
Eu1 0.0000 0.0000 0.0000  4 Eu 3.46, 8 Pu 3.71
Pu1 0.5000 0.5000 0.3215  4 Ni 2.90, 1 Pu 3.10
Pu2 0.5000 0.5000 0.6785  4 Ni 2.90, 1 Pu 3.10
Ni1 0.0000 0.0000 0.5000  8 Pu 2.90

---

# 5
The following is a DFT calculation (GGA-PBE) of EuPuNi4 after structural relaxation.

Cell lengths 5.1038, 5.1038, 5.1038 Å; angles 60.00, 60.00, 60.00 degrees
Closest atoms and distances in Å follow each position.
Element x y z (fractional)
Eu1 0.0000 0.0000 0.0000  12 Ni 2.99, 4 Pu 3.13
Pu1 0.2500 0.2500 0.2500  12 Ni 2.99, 4 Eu 3.13
Ni1 0.1273 0.6242 0.6242  6 Ni 2.54-2.57
Ni2 0.6242 0.1273 0.6242  6 Ni 2.54-2.57
Ni3 0.6242 0.6242 0.1273  6 Ni 2.54-2.57
Ni4 0.6242 0.6242 0.6242  6 Ni 2.54-2.57

---

# 6
The following is a DFT calculation (GGA-PBE) of EuPuNi2 after structural relaxation.

Cell lengths 4.8230, 4.8230, 4.8230 Å; angles 60.00, 60.00, 60.00 degrees
Closest atoms and distances in Å follow each position.
Element x y z (fractional)
Eu1 0.0000 0.0000 0.0000  8 Ni 2.95
Pu1 0.5000 0.5000 0.5000  8 Ni 2.95
Ni1 0.2500 0.2500 0.2500  4 Pu 2.95, 4 Eu 2.95
Ni2 0.7500 0.7500 0.7500  4 Pu 2.95, 4 Eu 2.95

---

It is found that the E_tot values, taken in the order of the records, are -6.71 -7.30 -7.75 -11.06 -8.14 -9.01 eV per atom.